(1)
Density functional theory data (PBE) for a geometry-optimized TaNb2Pd2 structure.

Cell and atoms, written as POSCAR:
```
TaNb2Pd2
1.0
-6.572 -4.212 0.452
4.226 -6.461 1.239
-0.109 0.475 2.848
Ta Pd Nb
2 4 4
Direct
0.500 0.500 0.000
0.000 0.000 0.000
0.873 0.373 0.500
0.627 0.873 0.500
0.373 0.127 0.500
0.127 0.627 0.500
0.670 0.170 0.000
0.170 0.330 0.000
0.330 0.830 0.000
0.830 0.670 0.000
```

Results
**Relative energy among the computed polymorphs**: 0.1034 eV per atom
**Formation enthalpy at 0 K**: 0.0611 eV/atom
**Mass density**: 10.9 Mg/m³


(2)
Density functional theory data (PBE) for a geometry-optimized Li2DyNi9 structure.

Cell and atoms, written as POSCAR:
```
Li2DyNi9
1.0
-2.547 -3.601 1.664
6.562 -2.965 3.631
-1.727 4.278 6.615
Li Ni Dy
4 18 2
Direct
0.000 0.114 0.386
0.000 0.386 0.886
0.000 0.614 0.114
0.000 0.886 0.614
0.500 0.000 0.500
0.500 0.062 0.210
0.500 0.438 0.710
0.757 0.680 0.820
0.757 0.820 0.320
0.757 0.320 0.180
0.500 0.710 0.562
0.500 0.790 0.062
0.500 0.210 0.938
0.243 0.180 0.680
0.243 0.680 0.820
0.243 0.820 0.320
0.757 0.180 0.680
0.500 0.500 0.000
0.243 0.320 0.180
0.500 0.290 0.438
0.500 0.938 0.790
0.500 0.562 0.290
0.000 0.000 0.000
0.000 0.500 0.500
```

Results
**Formation enthalpy at 0 K**: -0.1598 eV/atom
**Mass density**: 7.6 Mg/m³


(3)
Density functional theory data (PBE) for a geometry-optimized InTe2RuF structure.

Cell and atoms, written as POSCAR:
```
InTe2RuF
1.0
4.841 0.000 0.000
0.000 4.706 0.000
0.000 0.000 4.841
F Te Ru In
1 2 1 1
Direct
0.000 0.000 0.000
0.000 0.000 0.500
0.500 0.000 0.000
0.500 0.500 0.500
0.000 0.500 0.000
```

Results
**ΔE_f (raw)**: 0.43 eV per atom
**Relative energy among the computed polymorphs**: 0.7287 eV per atom
**Mass density**: 7.4 Mg/m³


(4)
Density functional theory data (PBE) for a geometry-optimized Ta2PtPb structure.

Cell and atoms, written as POSCAR:
```
Ta2PtPb
1.0
-1.618 3.355 1.483
-3.310 -0.637 -2.171
-6.484 -3.980 7.353
Ta Pb Pt
4 2 2
Direct
0.875 0.874 0.750
0.375 0.376 0.750
0.624 0.125 0.250
0.126 0.625 0.250
0.000 0.000 0.000
0.750 0.250 0.500
0.500 0.500 0.000
0.250 0.750 0.500
```

Results
**Formation enthalpy at 0 K**: 0.4724 eV/atom
**Mass density**: 15.5 Mg/m³


(5)
Density functional theory data (PBE) for a geometry-optimized Pm12GaRh6 structure.

Cell and atoms, written as POSCAR:
```
Pm12GaRh6
1.0
8.229 0.000 -2.909
-4.114 7.126 -2.909
0.000 0.000 8.728
Pm Ga Rh
12 1 6
Direct
0.699 0.513 0.814
0.301 0.487 0.186
0.699 0.884 0.186
0.301 0.116 0.814
0.814 0.699 0.513
0.116 0.814 0.301
0.814 0.301 0.116
0.186 0.699 0.884
0.487 0.186 0.301
0.186 0.301 0.487
0.884 0.186 0.699
0.513 0.814 0.699
0.000 0.000 0.000
0.132 0.632 0.500
0.868 0.368 0.500
0.500 0.132 0.632
0.500 0.868 0.368
0.632 0.500 0.132
0.368 0.500 0.868
```

Results
**Relative energy among the computed polymorphs**: 0.0000 eV per atom
**Formation enthalpy at 0 K**: -0.5151 eV/atom
**Mass density**: 7.9 Mg/m³


(6)
Density functional theory data (PBE) for a geometry-optimized TmHfAu2 structure.

Cell and atoms, written as POSCAR:
```
TmHfAu2
1.0
4.917 0.000 0.000
2.459 4.259 0.000
2.459 1.420 4.015
Au Hf Tm
2 1 1
Direct
0.250 0.250 0.250
0.750 0.750 0.750
0.500 0.500 0.500
0.000 0.000 0.000
```

Results
**Relative energy among the computed polymorphs**: 0.0343 eV per atom
**Formation enthalpy at 0 K**: -0.5931 eV/atom
**Mass density**: 14.6 Mg/m³


(7)
Density functional theory data (PBE) for a geometry-optimized TbPuGaAu structure.

Cell and atoms, written as POSCAR:
```
TbPuGaAu
1.0
5.132 0.000 0.000
2.566 4.444 0.000
2.566 1.481 4.190
Au Tb Ga Pu
1 1 1 1
Direct
0.750 0.750 0.750
0.500 0.500 0.500
0.250 0.250 0.250
0.000 0.000 0.000
```

Results
**Formation enthalpy at 0 K**: -0.4703 eV/atom
**Mass density**: 11.6 Mg/m³